1.
# TlTePd2, relaxed, DFT PBE
data_TlTePd2
_cell_length_a 3.4591
_cell_length_b 3.4591
_cell_length_c 6.7817
_cell_angle_alpha 90.00
_cell_angle_beta 90.00
_cell_angle_gamma 90.00
_symmetry_space_group_name_H-M 'P 4/m m m'
_symmetry_Int_Tables_number 123
_symmetry_space_group_name_Hall '-P 4 2'
loop_
_atom_site_label
_atom_site_fract_x
_atom_site_fract_y
_atom_site_fract_z
Tl1 0.0000 0.0000 0.0000
Te1 0.0000 0.0000 0.5000
Pd1 0.5000 0.5000 0.2650
# - relative energy among the computed polymorphs (eV/atom) = 0.182
# - calculated volume (Å³/f.u.) = 81
# - uncorrected formation energy (eV per atom) = -0.11
# - total magnetic moment (μB per formula unit) = 0.000
# - N(E_F) (states/eV per atom) = 0.4787
# - E_tot (eV/atom) = -4.081

=====

2.
# ZnTe4Ir, relaxed, DFT PBE
data_ZnTe4Ir
_cell_length_a 8.6902
_cell_length_b 8.6902
_cell_length_c 8.6902
_cell_angle_alpha 90.00
_cell_angle_beta 90.00
_cell_angle_gamma 90.00
_symmetry_space_group_name_H-M 'F -4 3 m'
_symmetry_Int_Tables_number 216
_symmetry_space_group_name_Hall 'F -4 2 3'
loop_
_atom_site_label
_atom_site_fract_x
_atom_site_fract_y
_atom_site_fract_z
Zn1 0.0000 0.0000 0.0000
Te1 0.1244 0.1244 0.3756
Ir1 0.2500 0.2500 0.7500
# - calculated volume (Å³/f.u.) = 164
# - uncorrected formation energy (eV per atom) = 1.13
# - total magnetic moment (μB per formula unit) = 0.005
# - N(E_F) (states/eV per atom) = 1.1399
# - E_tot (eV/atom) = -2.650

=====

Copy entry 2 word for word.
# ZnTe4Ir, relaxed, DFT PBE
data_ZnTe4Ir
_cell_length_a 8.6902
_cell_length_b 8.6902
_cell_length_c 8.6902
_cell_angle_alpha 90.00
_cell_angle_beta 90.00
_cell_angle_gamma 90.00
_symmetry_space_group_name_H-M 'F -4 3 m'
_symmetry_Int_Tables_number 216
_symmetry_space_group_name_Hall 'F -4 2 3'
loop_
_atom_site_label
_atom_site_fract_x
_atom_site_fract_y
_atom_site_fract_z
Zn1 0.0000 0.0000 0.0000
Te1 0.1244 0.1244 0.3756
Ir1 0.2500 0.2500 0.7500
# - calculated volume (Å³/f.u.) = 164
# - uncorrected formation energy (eV per atom) = 1.13
# - total magnetic moment (μB per formula unit) = 0.005
# - N(E_F) (states/eV per atom) = 1.1399
# - E_tot (eV/atom) = -2.650

=====

- The highest N(E_F) belongs to which entry?
  ZnTe4Ir

=====

- Look up the total magnetic moment of the second one.
  0.005 μB per formula unit